No. 1
{"formula": "Ac4Zn3Pd2", "functional": "PBE-GGA", "state": "optimized geometry", "ef_ev_per_atom": -0.43, "dos_at_fermi_per_ev_fu": 6.2, "total_energy_ha_per_atom": -0.141, "lattice_angstrom": [[0.914, 2.763, -2.991], [3.163, -5.458, -4.076], [-8.797, -0.674, -0.400]], "species": ["Ac", "Ac", "Ac", "Ac", "Pd", "Pd", "Zn", "Zn", "Zn"], "fractional_positions": [[0.568, 0.863, 0.135], [0.769, 0.292, 0.538], [0.432, 0.137, 0.865], [0.231, 0.708, 0.462], [0.603, 0.460, 0.207], [0.397, 0.540, 0.793], [0.901, 0.762, 0.801], [0.099, 0.238, 0.199], [0.000, 0.500, 0.000]]}


No. 2
{"formula": "Li2TiCrBr", "functional": "PBE-GGA", "state": "optimized geometry", "raw_formation_energy_kcal_per_mol_atoms": 17.52, "dos_at_fermi_per_ev_fu": 8.4, "total_energy_ha_per_atom": -0.141, "lattice_angstrom": [[-2.925, -2.485, 1.997], [3.555, -3.435, 0.933], [0.903, 1.954, 3.753]], "species": ["Li", "Li", "Br", "Cr", "Ti"], "fractional_positions": [[0.000, 0.000, 0.500], [0.500, 0.000, 0.000], [0.000, 0.000, 0.000], [0.500, 0.500, 0.500], [0.000, 0.500, 0.000]]}